A plane-wave DFT calculation with PBE was carried out for crystalline AcCdNi2 at its relaxed geometry.

```
data_AcCdNi2
_symmetry_space_group_name_H-M 'P m m a'
_symmetry_Int_Tables_number 51
_cell_length_a 5.346
_cell_length_b 4.141
_cell_length_c 7.514
_cell_angle_alpha 90.00
_cell_angle_beta 90.00
_cell_angle_gamma 90.00
loop_
_symmetry_equiv_pos_as_xyz
'x,y,z'
'-x,-y,-z'
'-x+1/2,-y,z'
'x+1/2,y,-z'
'x+1/2,-y,-z'
'-x+1/2,y,z'
'-x,y,-z'
'x,-y,z'
loop_
_atom_site_label
_atom_site_fract_x
_atom_site_fract_y
_atom_site_fract_z
Ac1 0.250 0.000 0.221
Cd1 0.250 0.500 0.830
Ni1 0.000 0.500 0.500
Ni2 0.250 0.000 0.591
```

Summary:
Total moment, μB per formula unit: 0.000
N(E_F), states/eV/cell: 6.74
E_form, eV/atom: -0.26

***

A plane-wave DFT calculation with PBE was carried out for crystalline PuThNp at its relaxed geometry.

```
data_PuThNp
_symmetry_space_group_name_H-M 'P n m a'
_symmetry_Int_Tables_number 62
_cell_length_a 12.563
_cell_length_b 3.693
_cell_length_c 6.127
_cell_angle_alpha 90.00
_cell_angle_beta 90.00
_cell_angle_gamma 90.00
loop_
_symmetry_equiv_pos_as_xyz
'x,y,z'
'-x,-y,-z'
'-x+1/2,-y,z+1/2'
'x+1/2,y,-z+1/2'
'x+1/2,-y+1/2,-z+1/2'
'-x+1/2,y+1/2,z+1/2'
'-x,y+1/2,-z'
'x,-y+1/2,z'
loop_
_atom_site_label
_atom_site_fract_x
_atom_site_fract_y
_atom_site_fract_z
Pu1 0.042 0.250 0.074
Th1 0.237 0.750 0.366
Np1 0.046 0.250 0.582
```

Summary:
Total moment, μB per formula unit: 0.000
N(E_F), states/eV/cell: 26.88
E_form, eV/atom: 0.26